An optimized crystal structure of LaThZnPb. Source: Alexandria, functional PBE.

abc: 5.465 5.465 5.465
angles: 60.00 60.00 60.00
Sites, in units of the cell vectors:
La (0.000, 0.000, 0.000)
Th (0.500, 0.500, 0.500)
Zn (0.750, 0.750, 0.750)
Pb (0.250, 0.250, 0.250)

## Properties
Calculated density in g/cm³: 9.3

---

An optimized crystal structure of LaTiPb2. Source: Alexandria, functional PBE.

abc: 3.791 3.791 7.401
angles: 90.00 90.00 90.00
Sites, in units of the cell vectors:
La (0.000, 0.000, 0.000)
Ti (0.000, 0.000, 0.500)
Pb (0.500, 0.500, 0.289)
Pb (0.500, 0.500, 0.711)

## Properties
Calculated density in g/cm³: 9.4

---

DFT formation energy
In order: -252; -159
Unit: meV/atom